Entry from OQMD: a geometry-optimized Lu2Sc2Tl5Ni2 structure (PBE-GGA).

Results
* ρ: 10.57 Mg/m³
* space group: P2/m (10)
* DFT total energy: -48.20 eV for the cell shown

abc: 7.7202 3.4388 9.3752
angles: 90.00 94.61 90.00
Sites, in units of the cell vectors:
Tl (0.3555, 0.0000, 0.8638)
Ni (0.5738, 0.0000, 0.6326)
Tl (0.9531, 0.0000, 0.6674)
Lu (0.2965, 0.5000, 0.5653)
Sc (0.6865, 0.5000, 0.8369)
Tl (0.6445, 0.0000, 0.1362)
Ni (0.4262, 0.0000, 0.3674)
Tl (0.0469, 0.0000, 0.3326)
Lu (0.7035, 0.5000, 0.4347)
Tl (0.0000, 0.0000, 0.0000)
Sc (0.3135, 0.5000, 0.1631)

***

Entry from OQMD: a geometry-optimized LuScZnNi structure (PBE-GGA).

Results
* ρ: 8.34 Mg/m³
* space group: F-43m (216)
* formation energy from the elements: -0.7 eV per formula unit
* DFT total energy: -18.43 eV for the cell shown

abc: 4.5933 4.5933 4.5933
angles: 60.00 60.00 60.00
Sites, in units of the cell vectors:
Zn (0.0000, 0.0000, 0.0000)
Lu (0.5000, 0.5000, 0.5000)
Sc (0.2500, 0.2500, 0.2500)
Ni (0.7500, 0.7500, 0.7500)

***

Entry from OQMD: a geometry-optimized LuTlNiSe3 structure (PBE-GGA).

Results
* ρ: 7.09 Mg/m³
* space group: P2_1/m (11)
* DFT total energy: -56.88 eV for the cell shown

abc: 8.3480 3.9463 10.2891
angles: 90.00 111.17 90.00
Sites, in units of the cell vectors:
Se (0.4481, 0.7500, 0.1425)
Tl (0.2666, 0.2500, 0.2948)
Se (0.5519, 0.2500, 0.8575)
Ni (0.0795, 0.2500, 0.5977)
Lu (0.6906, 0.2500, 0.1454)
Tl (0.7334, 0.7500, 0.7052)
Se (0.7912, 0.2500, 0.4468)
Se (0.9343, 0.7500, 0.1725)
Se (0.2088, 0.7500, 0.5532)
Lu (0.3094, 0.7500, 0.8546)
Se (0.0657, 0.2500, 0.8275)
Ni (0.9205, 0.7500, 0.4023)

***

Entry from OQMD: a geometry-optimized LuTlNiSe3 structure (PBE-GGA).

Results
* ρ: 7.67 Mg/m³
* space group: C2/m (12)
* DFT total energy: -55.51 eV for the cell shown

abc: 8.4712 8.4712 9.0051
angles: 103.69 103.69 27.79
Sites, in units of the cell vectors:
Tl (0.8572, 0.8572, 0.9369)
Lu (0.1704, 0.1704, 0.5878)
Se (0.3447, 0.3447, 0.6367)
Lu (0.8296, 0.8296, 0.4122)
Ni (0.5016, 0.5016, 0.3110)
Ni (0.4984, 0.4984, 0.6890)
Tl (0.1428, 0.1428, 0.0631)
Se (0.5000, 0.5000, 0.0000)
Se (0.0000, 0.0000, 0.5000)
Se (0.6553, 0.6553, 0.3633)
Se (0.3527, 0.3527, 0.2167)
Se (0.6473, 0.6473, 0.7833)

***

Entry from OQMD: a geometry-optimized TmLu6Ni2Se2 structure (PBE-GGA).

Results
* ρ: 9.86 Mg/m³
* space group: Imm2 (44)
* DFT total energy: -58.80 eV for the cell shown

abc: 8.8709 8.8709 8.8709
angles: 155.69 67.67 117.95
Sites, in units of the cell vectors:
Ni (0.3109, 0.0719, 0.2390)
Se (0.7348, 0.2348, 0.5000)
Lu (0.0611, 0.3755, 0.6856)
Lu (0.7082, 0.5820, 0.1262)
Lu (0.4557, 0.5820, 0.8738)
Se (0.3359, 0.3359, 0.0000)
Lu (0.0933, 0.7333, 0.3600)
Tm (0.9921, 0.9921, 0.0000)
Lu (0.3732, 0.7333, 0.6400)
Ni (0.8330, 0.0719, 0.7610)
Lu (0.6899, 0.3755, 0.3144)

***

Entry from OQMD: a geometry-optimized YTm4Lu2Ni2Se2 structure (PBE-GGA).

Results
* ρ: 8.97 Mg/m³
* space group: Imm2 (44)
* DFT total energy: -60.68 eV for the cell shown

abc: 8.9485 8.9485 8.9485
angles: 155.72 67.35 118.27
Sites, in units of the cell vectors:
Tm (0.0992, 0.7408, 0.3584)
Se (0.7406, 0.2406, 0.5000)
Tm (0.3824, 0.7408, 0.6416)
Lu (0.4149, 0.0997, 0.3152)
Lu (0.7845, 0.0997, 0.6848)
Tm (0.0205, 0.8944, 0.1261)
Se (0.1417, 0.1417, 0.0000)
Tm (0.7683, 0.8944, 0.8739)
Ni (0.6449, 0.4059, 0.2391)
Y (0.4822, 0.4822, 0.0000)
Ni (0.1668, 0.4059, 0.7609)

***

Entry from OQMD: a geometry-optimized LuSiNi structure (PBE-GGA).

Results
* ρ: 8.04 Mg/m³
* space group: F-43m (216)
* DFT total energy: -17.28 eV for the cell shown

abc: 4.2435 4.2435 4.2435
angles: 60.00 60.00 60.00
Sites, in units of the cell vectors:
Si (0.7500, 0.7500, 0.7500)
Ni (0.0000, 0.0000, 0.0000)
Lu (0.2500, 0.2500, 0.2500)

***

Entry from OQMD: a geometry-optimized Lu6SiNi2 structure (PBE-GGA).

Results
* ρ: 9.85 Mg/m³
* space group: P-62m (189)
* DFT total energy: -46.76 eV for the cell shown

abc: 7.4671 7.4671 4.1731
angles: 90.00 90.00 120.00
Sites, in units of the cell vectors:
Lu (0.0000, 0.2680, 0.5000)
Lu (0.4019, 0.4019, 0.0000)
Ni (0.6667, 0.3333, 0.5000)
Lu (0.0000, 0.5981, 0.0000)
Lu (0.7320, 0.7320, 0.5000)
Lu (0.5981, 0.0000, 0.0000)
Si (0.0000, 0.0000, 0.0000)
Lu (0.2680, 0.0000, 0.5000)
Ni (0.3333, 0.6667, 0.5000)

***

Entry from OQMD: a geometry-optimized Lu2Si5Ni3 structure (PBE-GGA).

Results
* ρ: 7.56 Mg/m³
* space group: Ibam (72)
* DFT total energy: -120.91 eV for the cell shown

abc: 7.7930 7.7930 7.7930
angles: 104.13 90.68 138.07
Sites, in units of the cell vectors:
Ni (0.3658, 0.1157, 0.4815)
Ni (0.8658, 0.3843, 0.2501)
Si (0.4846, 0.2500, 0.2346)
Ni (0.6342, 0.8843, 0.5185)
Si (0.7500, 0.2500, 0.5000)
Lu (0.3687, 0.7635, 0.1323)
Si (0.1077, 0.8475, 0.9552)
Si (0.3923, 0.3475, 0.7398)
Si (0.8923, 0.1525, 0.0448)
Si (0.9846, 0.7500, 0.2346)
Ni (0.2500, 0.2500, 0.0000)
Lu (0.6313, 0.2365, 0.8677)
Lu (0.8687, 0.7365, 0.6052)
Ni (0.1342, 0.6157, 0.7499)
Si (0.0154, 0.2500, 0.7654)
Si (0.2500, 0.7500, 0.5000)
Ni (0.7500, 0.7500, 0.0000)
Lu (0.1313, 0.2635, 0.3948)
Si (0.6077, 0.6525, 0.2602)
Si (0.5154, 0.7500, 0.7654)

***

Entry from OQMD: a geometry-optimized Lu3Si2Ni6 structure (PBE-GGA).

Results
* ρ: 9.61 Mg/m³
* space group: Im-3m (229)
* DFT total energy: -131.21 eV for the cell shown

abc: 7.4820 7.4820 7.4820
angles: 109.47 109.47 109.47
Sites, in units of the cell vectors:
Ni (0.6690, 0.3380, 0.6690)
Si (0.0000, 0.5000, 0.0000)
Si (0.5000, 0.5000, 0.5000)
Ni (0.0000, 0.3310, 0.6690)
Si (0.5000, 0.0000, 0.0000)
Ni (0.0000, 0.6690, 0.3310)
Si (0.0000, 0.0000, 0.5000)
Ni (0.3310, 0.6620, 0.3310)
Ni (0.3310, 0.0000, 0.6690)
Lu (0.0000, 0.2856, 0.2856)
Ni (0.3380, 0.6690, 0.6690)
Ni (0.6690, 0.0000, 0.3310)
Lu (0.2856, 0.2856, 0.0000)
Ni (0.3310, 0.3310, 0.6620)
Lu (0.2856, 0.0000, 0.2856)
Lu (0.7144, 0.7144, 0.0000)
Ni (0.6620, 0.3310, 0.3310)
Lu (0.7144, 0.0000, 0.7144)
Ni (0.3310, 0.6690, 0.0000)
Lu (0.0000, 0.7144, 0.7144)
Ni (0.6690, 0.6690, 0.3380)
Ni (0.6690, 0.3310, 0.0000)

***

Entry from OQMD: a geometry-optimized LuSi2Ni structure (PBE-GGA).

Results
* ρ: 7.63 Mg/m³
* space group: F-43m (216)
* DFT total energy: -21.43 eV for the cell shown

abc: 4.4681 4.4681 4.4681
angles: 60.00 60.00 60.00
Sites, in units of the cell vectors:
Si (0.7500, 0.7500, 0.7500)
Si (0.5000, 0.5000, 0.5000)
Lu (0.2500, 0.2500, 0.2500)
Ni (0.0000, 0.0000, 0.0000)

***

Entry from OQMD: a geometry-optimized LuSiNi2 structure (PBE-GGA).

Results
* ρ: 9.12 Mg/m³
* space group: F-43m (216)
* DFT total energy: -22.13 eV for the cell shown

abc: 4.3533 4.3533 4.3533
angles: 60.00 60.00 60.00
Sites, in units of the cell vectors:
Lu (0.2500, 0.2500, 0.2500)
Si (0.5000, 0.5000, 0.5000)
Ni (0.0000, 0.0000, 0.0000)
Ni (0.7500, 0.7500, 0.7500)